(1)
# Sm2Ga2Ru, optimized geometry, DFT PBE
data_Sm2Ga2Ru
_symmetry_space_group_name_H-M 'C 1 2/m 1'
_symmetry_Int_Tables_number 12
_symmetry_space_group_name_Hall '-C 2y'
_cell_length_a 10.406
_cell_length_b 4.499
_cell_length_c 10.783
_cell_angle_alpha 90.00
_cell_angle_beta 118.62
_cell_angle_gamma 90.00
loop_
_atom_site_label
_atom_site_fract_x
_atom_site_fract_y
_atom_site_fract_z
Sm1 0.082 0.000 0.389
Sm2 0.175 0.500 0.171
Ga1 0.082 0.000 0.932
Ga2 0.123 0.500 0.621
Ru1 0.150 0.500 0.873
# Magnetization   0.00 μB per cell
# Calculated total energy   -5.51 eV/atom

***

(2)
# K6ReN4, optimized geometry, DFT PBE
data_K6ReN4
_symmetry_space_group_name_H-M 'P 42/n m c'
_symmetry_Int_Tables_number 137
_cell_length_a 8.478
_cell_length_b 8.478
_cell_length_c 6.979
_cell_angle_alpha 90.00
_cell_angle_beta 90.00
_cell_angle_gamma 90.00
loop_
_symmetry_equiv_pos_as_xyz
'x,y,z'
'-x,-y,-z'
'-y+1/2,x,z+1/2'
'y+1/2,-x,-z+1/2'
'-x+1/2,-y+1/2,z'
'x+1/2,y+1/2,-z'
'y,-x+1/2,z+1/2'
'-y,x+1/2,-z+1/2'
'x+1/2,-y,-z'
'-x+1/2,y,z'
'-y,-x,-z+1/2'
'y,x,z+1/2'
'-x,y+1/2,-z'
'x,-y+1/2,z'
'y+1/2,x+1/2,-z+1/2'
'-y+1/2,-x+1/2,z+1/2'
loop_
_atom_site_label
_atom_site_fract_x
_atom_site_fract_y
_atom_site_fract_z
K1 0.040 0.540 0.250
K2 0.250 0.250 0.010
Re1 0.250 0.750 0.750
N1 0.067 0.750 0.601
# Magnetization   0.00 μB per cell
# Calculated total energy   -4.79 eV/atom
# ΔE_f (raw)   -0.03 eV per atom

***

(3)
# ReIrBr2, optimized geometry, DFT PBE
data_ReIrBr2
_symmetry_space_group_name_H-M 'F m -3 m'
_symmetry_Int_Tables_number 225
_symmetry_space_group_name_Hall '-F 4 2 3'
_cell_length_a 6.474
_cell_length_b 6.474
_cell_length_c 6.474
_cell_angle_alpha 90.00
_cell_angle_beta 90.00
_cell_angle_gamma 90.00
loop_
_atom_site_label
_atom_site_fract_x
_atom_site_fract_y
_atom_site_fract_z
Re1 0.000 0.000 0.000
Ir1 0.000 0.000 0.500
Br1 0.250 0.250 0.250
# Magnetization   0.00 μB per cell
# Calculated total energy   -4.58 eV/atom
# ΔE_f (raw)   1.58 eV per atom

***

(4)
# Y6ReO12, optimized geometry, DFT PBE
data_Y6ReO12
_symmetry_space_group_name_H-M 'R -3'
_symmetry_Int_Tables_number 148
_symmetry_space_group_name_Hall '-R 3'
_cell_length_a 9.8617
_cell_length_b 9.8617
_cell_length_c 9.3996
_cell_angle_alpha 90.00
_cell_angle_beta 90.00
_cell_angle_gamma 120.00
loop_
_atom_site_label
_atom_site_fract_x
_atom_site_fract_y
_atom_site_fract_z
Y1 0.0414 0.7875 0.1439
Re1 0.0000 0.0000 0.5000
O1 0.0319 0.8087 0.9003
O2 0.0364 0.8531 0.3887
# Magnetization   3.03 μB per cell
# Calculated total energy   -8.98 eV/atom
# ΔE_f (raw)   -3.15 eV per atom

***

(5)
# NaBi2Te3, optimized geometry, DFT PBE
data_NaBi2Te3
_symmetry_space_group_name_H-M 'P m c 21'
_symmetry_Int_Tables_number 26
_symmetry_space_group_name_Hall 'P 2c -2'
_cell_length_a 4.239
_cell_length_b 11.984
_cell_length_c 7.916
_cell_angle_alpha 90.00
_cell_angle_beta 90.00
_cell_angle_gamma 90.00
loop_
_atom_site_label
_atom_site_fract_x
_atom_site_fract_y
_atom_site_fract_z
Na1 0.000 0.150 0.000
Bi1 0.000 0.153 0.482
Bi2 0.500 0.498 0.960
Te1 0.000 0.374 0.740
Te2 0.500 0.046 0.711
Te3 0.500 0.293 0.246
# Magnetization   0.00 μB per cell
# Calculated total energy   -3.39 eV/atom
# ΔE_f (raw)   -0.30 eV per atom

***

(6)
# Tb6Dy2Tm3Zr, optimized geometry, DFT PBE
data_Tb6Dy2Tm3Zr
_symmetry_space_group_name_H-M 'C 1 2/m 1'
_symmetry_Int_Tables_number 12
_symmetry_space_group_name_Hall '-C 2y'
_cell_length_a 6.075
_cell_length_b 10.503
_cell_length_c 11.594
_cell_angle_alpha 90.00
_cell_angle_beta 99.97
_cell_angle_gamma 90.00
loop_
_atom_site_label
_atom_site_fract_x
_atom_site_fract_y
_atom_site_fract_z
Tb1 0.245 0.000 0.254
Tb2 0.246 0.164 0.747
Dy1 0.000 0.333 0.500
Tm1 0.000 0.166 0.000
Tm2 0.000 0.500 0.000
Zr1 0.000 0.000 0.500
# Magnetization   0.00 μB per cell
# Calculated total energy   -4.87 eV/atom

***

(7)
# Cd2ReAu, optimized geometry, DFT PBE
data_Cd2ReAu
_symmetry_space_group_name_H-M 'C 1 m 1'
_symmetry_Int_Tables_number 8
_symmetry_space_group_name_Hall 'C -2y'
_cell_length_a 10.975
_cell_length_b 2.831
_cell_length_c 5.256
_cell_angle_alpha 90.00
_cell_angle_beta 117.42
_cell_angle_gamma 90.00
loop_
_atom_site_label
_atom_site_fract_x
_atom_site_fract_y
_atom_site_fract_z
Cd1 0.000 0.000 0.000
Cd2 0.235 0.000 0.574
Re1 0.248 0.500 0.071
Au1 0.479 0.000 0.489
# Magnetization   0.00 μB per cell
# Calculated total energy   -4.00 eV/atom

***

(8)
# Sb2MoSe, optimized geometry, DFT PBE
data_Sb2MoSe
_symmetry_space_group_name_H-M 'I m m 2'
_symmetry_Int_Tables_number 44
_symmetry_space_group_name_Hall 'I 2 -2'
_cell_length_a 3.261
_cell_length_b 4.514
_cell_length_c 13.386
_cell_angle_alpha 90.00
_cell_angle_beta 90.00
_cell_angle_gamma 90.00
loop_
_atom_site_label
_atom_site_fract_x
_atom_site_fract_y
_atom_site_fract_z
Sb1 0.000 0.000 0.000
Sb2 0.000 0.500 0.149
Mo1 0.000 0.000 0.452
Se1 0.000 0.500 0.809
# Magnetization   0.00 μB per cell
# Calculated total energy   -5.49 eV/atom
# ΔE_f (raw)   0.15 eV per atom